# 1
DFT (PBE) results for crystalline SrYF2 at its relaxed geometry.

Cell: 6.724 6.724 6.724 Å, 35.52 35.52 35.52°
Fractional positions:
1 Sr 0.000 0.000 0.000
2 Y 0.500 0.500 0.500
3 F 0.380 0.380 0.380
4 F 0.620 0.620 0.620

Summary:
Energy relative to the lowest polymorph listed for this composition in meV per atom: 0.0
Formation energy from raw total energies in eV/f.u.: -10.90
Crystal system: trigonal
Mass density in g/cm3: 3.88



# 2
DFT (PBE) results for crystalline SrYZr2F at its relaxed geometry.

Cell: 6.034 6.034 4.265 Å, 90.00 90.00 90.00°
Fractional positions:
1 Sr 0.000 0.000 0.000
2 Y 0.500 0.500 0.500
3 Zr 0.000 0.500 0.000
4 Zr 0.500 0.000 0.000
5 F 0.000 0.000 0.500

Summary:
Formation energy from raw total energies in eV/f.u.: 2.06
Crystal system: tetragonal
Mass density in g/cm3: 4.04



# 3
DFT (PBE) results for crystalline Sr2ZnF8 at its relaxed geometry.

Cell: 7.695 7.695 7.695 Å, 146.92 143.24 50.28°
Fractional positions:
1 Sr 0.163 0.163 0.000
2 Sr 0.837 0.837 0.000
3 Zn 0.500 0.500 0.000
4 F 0.143 0.392 0.751
5 F 0.261 0.000 0.261
6 F 0.273 0.773 0.500
7 F 0.360 0.608 0.751
8 F 0.640 0.392 0.249
9 F 0.727 0.227 0.500
10 F 0.739 0.000 0.739
11 F 0.857 0.608 0.249

Summary:
Energy relative to the lowest polymorph listed for this composition in meV per atom: 0.0
Formation energy from raw total energies in eV/f.u.: -29.59
Crystal system: orthorhombic
Mass density in g/cm3: 4.40



# 4
DFT (PBE) results for crystalline SrZn2F at its relaxed geometry.

Cell: 6.895 6.895 6.895 Å, 96.79 96.79 139.76°
Fractional positions:
1 Sr 0.000 0.000 0.000
2 Sr 0.750 0.250 0.500
3 Zn 0.154 0.625 0.029
4 Zn 0.375 0.404 0.529
5 Zn 0.596 0.125 0.971
6 Zn 0.875 0.846 0.471
7 F 0.250 0.750 0.500
8 F 0.500 0.500 0.000

Summary:
Energy relative to the lowest polymorph listed for this composition in meV per atom: 0.0
Formation energy from raw total energies in eV/f.u.: -4.41
Crystal system: tetragonal
Mass density in g/cm3: 3.97



# 5
DFT (PBE) results for crystalline SrZnF2 at its relaxed geometry.

Cell: 4.594 4.594 4.594 Å, 60.00 60.00 60.00°
Fractional positions:
1 Sr 0.000 0.000 0.000
2 Zn 0.500 0.500 0.500
3 F 0.250 0.250 0.250
4 F 0.750 0.750 0.750

Summary:
Energy relative to the lowest polymorph listed for this composition in meV per atom: 237.8
Formation energy from raw total energies in eV/f.u.: -9.18
Crystal system: cubic
Mass density in g/cm3: 4.63



# 6
DFT (PBE) results for crystalline Sr2ZnF8 at its relaxed geometry.

Cell: 4.419 5.644 7.532 Å, 80.15 89.50 68.33°
Fractional positions:
1 Sr 0.241 0.012 0.224
2 Sr 0.759 0.988 0.776
3 Zn 0.000 0.500 0.500
4 F 0.162 0.521 0.746
5 F 0.202 0.126 0.553
6 F 0.300 0.904 0.921
7 F 0.336 0.529 0.330
8 F 0.664 0.471 0.670
9 F 0.700 0.096 0.079
10 F 0.798 0.874 0.447
11 F 0.838 0.479 0.254

Summary:
Energy relative to the lowest polymorph listed for this composition in meV per atom: 6.6
Formation energy from raw total energies in eV/f.u.: -29.52
Crystal system: triclinic
Mass density in g/cm3: 3.80



# 7
DFT (PBE) results for crystalline SrZnF2 at its relaxed geometry.

Cell: 7.651 7.651 7.651 Å, 140.10 140.10 57.71°
Fractional positions:
1 Sr 0.000 0.000 0.000
2 Sr 0.750 0.250 0.500
3 Zn 0.250 0.750 0.500
4 Zn 0.500 0.500 0.000
5 F 0.046 0.625 0.921
6 F 0.375 0.296 0.421
7 F 0.704 0.125 0.079
8 F 0.875 0.954 0.579

Summary:
Energy relative to the lowest polymorph listed for this composition in meV per atom: 177.7
Formation energy from raw total energies in eV/f.u.: -9.42
Crystal system: tetragonal
Mass density in g/cm3: 3.47



# 8
DFT (PBE) results for crystalline Sr4Zn6F19 at its relaxed geometry.

Cell: 8.023 8.023 8.023 Å, 109.47 109.47 109.47°
Fractional positions:
1 Sr 0.000 0.000 0.326
2 Sr 0.000 0.326 0.000
3 Sr 0.326 0.000 0.000
4 Sr 0.674 0.674 0.674
5 Zn 0.165 0.500 0.665
6 Zn 0.335 0.835 0.500
7 Zn 0.500 0.335 0.835
8 Zn 0.500 0.665 0.165
9 Zn 0.665 0.165 0.500
10 Zn 0.835 0.500 0.335
11 F 0.000 0.000 0.000
12 F 0.000 0.339 0.339
13 F 0.000 0.661 0.661
14 F 0.029 0.659 0.261
15 F 0.233 0.631 0.971
16 F 0.261 0.029 0.659
17 F 0.339 0.000 0.339
18 F 0.339 0.339 0.000
19 F 0.341 0.369 0.602
20 F 0.369 0.602 0.341
21 F 0.398 0.767 0.739
22 F 0.602 0.341 0.369
23 F 0.631 0.971 0.233
24 F 0.659 0.261 0.029
25 F 0.661 0.000 0.661
26 F 0.661 0.661 0.000
27 F 0.739 0.398 0.767
28 F 0.767 0.739 0.398
29 F 0.971 0.233 0.631

Summary:
Formation energy from raw total energies in eV/f.u.: -83.32
Crystal system: cubic
Mass density in g/cm3: 4.61



DFT total energy (computed, eV/atom): -5.698, -5.010, -4.473, -2.627, -3.969, -4.466, -4.029, -4.595